Entry from Alexandria via LeMat-Bulk: an optimized crystal structure of ThAlCoN (GGA-PBE).

abc: 3.8659 3.8659 8.3524
angles: 90.00 90.00 90.00
With the nearest neighbours (Å) after each atom.
Element x y z (fractional)
Al (0.0000, 0.5000, 0.3495)  1 N 1.93
Al (0.5000, 0.0000, 0.6505)  1 N 1.93
Co (0.0000, 0.0000, 0.5000)  4 Al 2.31
Co (0.5000, 0.5000, 0.5000)  4 Al 2.31
N (0.5000, 0.0000, 0.8817)  1 Al 1.93
Th (0.0000, 0.5000, 0.8364)  1 N 2.35
Th (0.5000, 0.0000, 0.1636)  1 N 2.35
N (0.0000, 0.5000, 0.1183)  1 Al 1.93

Results
The uncorrected energy comes out at -0.5499 Ry per atom. Its size of the total moment is 0.36 μB per cell. The calculation puts the formation energy without anion corrections at -80.42 kJ/mol of atoms. The volume comes out at 62 Å³/f.u.